1.
DFT (PBE) results for an optimized crystal structure of La2AgTe.

Its volume is 452.6 Å³/cell. The calculation puts the formation energy without anion corrections at -210 meV/atom.

The space group is F-43m (No. 216) and the conventional cell measures 7.678, 7.678 and 7.678 Å, with angles of 90.00, 90.00 and 90.00 degrees. The distinct sites, in fractional coordinates, are La at (0.000, 0.000, 0.000), La at (0.250, 0.250, 0.250), Ag at (0.250, 0.250, 0.750) and Te at (0.000, 0.000, 0.500).

=====

2.
DFT (PBE) results for an optimized crystal structure of Ga2SiAgPt.

Its volume is 111.4 Å³/cell. The calculation puts the formation energy without anion corrections at 164 meV/atom.

The space group is P4/mmm (No. 123) and the conventional cell measures 4.849, 4.849 and 4.736 Å, with angles of 90.00, 90.00 and 90.00 degrees. The distinct sites, in fractional coordinates, are Ga at (0.000, 0.500, 0.000), Si at (0.000, 0.000, 0.500), Ag at (0.500, 0.500, 0.500) and Pt at (0.000, 0.000, 0.000).

=====

3.
DFT (PBE) results for an optimized crystal structure of DyTh4In5.

Its volume is 281.9 Å³/cell. As for the calculated formation energy: -308 kJ/mol of formula units.

The space group is P4/mmm (No. 123) and the conventional cell measures 3.520, 3.520 and 22.747 Å, with angles of 90.00, 90.00 and 90.00 degrees. The distinct sites, in fractional coordinates, are Dy at (0.000, 0.000, 0.000), Th at (0.000, 0.000, 0.195), Th at (0.000, 0.000, 0.398), In at (0.500, 0.500, 0.094), In at (0.500, 0.500, 0.296) and In at (0.500, 0.500, 0.500).